Arrangement A

{
  "formula": "Ba2LiNiHg",
  "functional": "GGA-PBE",
  "state": "relaxed",
  "lattice_angstrom": [[5.9712, 0.0000, 0.0000], [0.0000, 5.9712, 0.0000], [0.0000, 0.0000, 4.8229]],
  "species": ["Ba", "Ba", "Li", "Ni", "Hg"],
  "frac_coords": [[0.0000, 0.5000, 0.0000], [0.5000, 0.0000, 0.0000], [0.0000, 0.0000, 0.5000], [0.0000, 0.0000, 0.0000], [0.5000, 0.5000, 0.5000]]
}



Arrangement B

{
  "formula": "Ba2LiNiHg",
  "functional": "GGA-PBE",
  "state": "relaxed",
  "lattice_angstrom": [[5.9630, 0.0000, 0.0000], [0.0000, 5.9630, 0.0000], [0.0000, 0.0000, 5.1063]],
  "species": ["Ba", "Ba", "Li", "Ni", "Hg"],
  "frac_coords": [[0.0000, 0.5000, 0.0000], [0.5000, 0.0000, 0.0000], [0.0000, 0.0000, 0.5000], [0.5000, 0.5000, 0.0000], [0.5000, 0.5000, 0.5000]]
}



If we sort the structures by their calculated energies, the order from most to least stable is arrangement A, arrangement B.



Arrangement A

{
  "formula": "BaLiNiHg2",
  "functional": "GGA-PBE",
  "state": "relaxed",
  "lattice_angstrom": [[6.4686, 0.0000, 0.0000], [0.0000, 6.4686, 0.0000], [0.0000, 0.0000, 5.2501]],
  "species": ["Ba", "Li", "Ni", "Hg", "Hg"],
  "frac_coords": [[0.0000, 0.0000, 0.0000], [0.5000, 0.5000, 0.5000], [0.0000, 0.0000, 0.5000], [0.0000, 0.5000, 0.0000], [0.5000, 0.0000, 0.0000]]
}



Arrangement B

{
  "formula": "BaLiNiHg2",
  "functional": "GGA-PBE",
  "state": "relaxed",
  "lattice_angstrom": [[5.1705, 0.0000, 0.0000], [0.0000, 5.1705, 0.0000], [0.0000, 0.0000, 4.8422]],
  "species": ["Ba", "Li", "Ni", "Hg", "Hg"],
  "frac_coords": [[0.0000, 0.0000, 0.0000], [0.5000, 0.5000, 0.0000], [0.5000, 0.5000, 0.5000], [0.0000, 0.5000, 0.5000], [0.5000, 0.0000, 0.5000]]
}



If we sort the structures by their calculated energies, the order from most to least stable is arrangement B, arrangement A.



Arrangement A

{
  "formula": "Ba2LiHgRh",
  "functional": "GGA-PBE",
  "state": "relaxed",
  "lattice_angstrom": [[5.9788, 0.0000, 0.0000], [0.0000, 5.9788, 0.0000], [0.0000, 0.0000, 5.3658]],
  "species": ["Ba", "Ba", "Li", "Hg", "Rh"],
  "frac_coords": [[0.0000, 0.5000, 0.0000], [0.5000, 0.0000, 0.0000], [0.0000, 0.0000, 0.5000], [0.5000, 0.5000, 0.5000], [0.5000, 0.5000, 0.0000]]
}



Arrangement B

{
  "formula": "Ba2LiHgRh",
  "functional": "GGA-PBE",
  "state": "relaxed",
  "lattice_angstrom": [[5.9430, 0.0000, 0.0000], [0.0000, 5.9430, 0.0000], [0.0000, 0.0000, 4.9161]],
  "species": ["Ba", "Ba", "Li", "Hg", "Rh"],
  "frac_coords": [[0.0000, 0.5000, 0.0000], [0.5000, 0.0000, 0.0000], [0.0000, 0.0000, 0.5000], [0.5000, 0.5000, 0.5000], [0.0000, 0.0000, 0.0000]]
}



If we sort the structures by their calculated energies, the order from most to least stable is arrangement B, arrangement A.



Arrangement A

{
  "formula": "BaLiHgSb2",
  "functional": "GGA-PBE",
  "state": "relaxed",
  "lattice_angstrom": [[-2.3713, 2.3713, 6.6094], [2.3713, -2.3713, 6.6094], [2.3713, 2.3713, -6.6094]],
  "species": ["Ba", "Li", "Hg", "Sb", "Sb"],
  "frac_coords": [[0.0000, 0.0000, 0.0000], [0.2500, 0.7500, 0.5000], [0.7500, 0.2500, 0.5000], [0.3818, 0.3818, 0.0000], [0.6182, 0.6182, 0.0000]]
}



Arrangement B

{
  "formula": "BaLiHgSb2",
  "functional": "GGA-PBE",
  "state": "relaxed",
  "lattice_angstrom": [[5.2136, 0.0000, 0.0000], [0.0000, 5.2136, 0.0000], [0.0000, 0.0000, 5.4105]],
  "species": ["Ba", "Li", "Hg", "Sb", "Sb"],
  "frac_coords": [[0.0000, 0.0000, 0.0000], [0.5000, 0.5000, 0.5000], [0.5000, 0.5000, 0.0000], [0.0000, 0.5000, 0.5000], [0.5000, 0.0000, 0.5000]]
}



If we sort the structures by their calculated energies, the order from most to least stable is arrangement A, arrangement B.



Arrangement A

{
  "formula": "BaSrLi2Hg",
  "functional": "GGA-PBE",
  "state": "relaxed",
  "lattice_angstrom": [[-2.1472, 2.7675, 7.4688], [2.1472, -2.7675, 7.4688], [2.1472, 2.7675, -7.4688]],
  "species": ["Ba", "Sr", "Li", "Li", "Hg"],
  "frac_coords": [[0.0000, 0.0000, 0.0000], [0.2692, 0.7692, 0.5000], [0.6218, 0.6218, 0.0000], [0.7898, 0.2898, 0.5000], [0.4357, 0.4357, 0.0000]]
}



Arrangement B

{
  "formula": "BaSrLi2Hg",
  "functional": "GGA-PBE",
  "state": "relaxed",
  "lattice_angstrom": [[5.5606, 0.0000, 0.0000], [0.0000, 5.5606, 0.0000], [0.0000, 0.0000, 6.0769]],
  "species": ["Ba", "Sr", "Li", "Li", "Hg"],
  "frac_coords": [[0.0000, 0.0000, 0.0000], [0.5000, 0.5000, 0.0000], [0.0000, 0.5000, 0.5000], [0.5000, 0.0000, 0.5000], [0.5000, 0.5000, 0.5000]]
}



If we sort the structures by their calculated energies, the order from most to least stable is arrangement A, arrangement B.



Arrangement A

{
  "formula": "BaSr2LiHg",
  "functional": "GGA-PBE",
  "state": "relaxed",
  "lattice_angstrom": [[6.4392, 0.0000, 0.0000], [0.0000, 6.4392, 0.0000], [0.0000, 0.0000, 5.3958]],
  "species": ["Ba", "Sr", "Sr", "Li", "Hg"],
  "frac_coords": [[0.0000, 0.0000, 0.0000], [0.0000, 0.5000, 0.5000], [0.5000, 0.0000, 0.5000], [0.5000, 0.5000, 0.0000], [0.5000, 0.5000, 0.5000]]
}



Arrangement B

{
  "formula": "BaSr2LiHg",
  "functional": "GGA-PBE",
  "state": "relaxed",
  "lattice_angstrom": [[6.3415, 0.0000, 0.0000], [0.0000, 6.3415, 0.0000], [0.0000, 0.0000, 6.5345]],
  "species": ["Ba", "Sr", "Sr", "Li", "Hg"],
  "frac_coords": [[0.0000, 0.0000, 0.0000], [0.0000, 0.5000, 0.5000], [0.5000, 0.0000, 0.5000], [0.5000, 0.5000, 0.0000], [0.0000, 0.0000, 0.5000]]
}



If we sort the structures by their calculated energies, the order from most to least stable is arrangement A, arrangement B.